DFT (PBE with a Hubbard U) results for a geometry-optimized Li3MnF6 structure.

Unit cell a=5.0555 b=5.0555 c=13.7931 alpha=90.00 beta=90.00 gamma=120.00
Space group R3 (No. 146, hexagonal axes)
Unique sites:
Li 0.0000 0.0000 0.0000 [3 per cell]
Li 0.0000 0.0000 0.2045 [3 per cell]
Li 0.0000 0.0000 0.7162 [3 per cell]
Mn 0.0000 0.0000 0.5114 [3 per cell]
F 0.0009 0.3606 0.7705 [9 per cell]
F 0.0078 0.7041 0.5972 [9 per cell]

Summary:
**Offset from the most stable computed form**: 203 meV/atom
**Total energy**: -5.0072 eV per atom
**Total magnetization**: 2.0 μB per formula unit